# LiNiW | Alexandria via LeMat-Bulk | PBE | optimized geometry
# E = -0.428 Ry per atom
# ΔH_f (0 K) = 1066 meV per atom
# theoretical density = 9.17 g/cm³
# N(E_F) = 0.732 states/eV/atom
data_LiNiW
_symmetry_space_group_name_H-M 'P 1'
_symmetry_Int_Tables_number 1
_cell_length_a 5.6529
_cell_length_b 5.6529
_cell_length_c 5.6529
_cell_angle_alpha 90.00
_cell_angle_beta 90.00
_cell_angle_gamma 90.00
loop_
_symmetry_equiv_pos_as_xyz
'x,y,z'
loop_
_atom_site_label
_atom_site_fract_x
_atom_site_fract_y
_atom_site_fract_z
Li1 0.0000 0.0000 0.0000
Li2 0.0000 0.5000 0.5000
Li3 0.5000 0.0000 0.5000
Li4 0.5000 0.5000 0.0000
Ni1 0.0000 0.0000 0.5000
Ni2 0.0000 0.5000 0.0000
Ni3 0.5000 0.0000 0.0000
Ni4 0.5000 0.5000 0.5000
W1 0.2500 0.2500 0.2500
W2 0.2500 0.7500 0.7500
W3 0.7500 0.2500 0.7500
W4 0.7500 0.7500 0.2500